Density functional theory data (GGA-PBE) for Ce3Si2SnRh9 after structural relaxation.

Cell: 7.0503 7.0503 6.7982 Å, 90.00 90.00 120.00°
Space group P-3m1 (No. 164)
Unique sites:
Ce 0.0000 0.0000 0.0000 (multiplicity 1)
Ce 0.3333 0.6667 0.6810 (multiplicity 2)
Si 0.3333 0.6667 0.1405 (multiplicity 2)
Sn 0.0000 0.0000 0.5000 (multiplicity 1)
Rh 0.0000 0.5000 0.0000 (multiplicity 3)
Rh 0.1969 0.3938 0.3719 (multiplicity 6)

## Properties
energy relative to the elements, uncorrected	-47.47	kJ per mole of atoms
DOS(E_F)	12.28	states/eV/f.u.

=====

Density functional theory data (GGA-PBE) for CdTeAu after structural relaxation.

Cell: 4.685 4.504 8.070 Å, 90.00 100.38 90.00°
Space group Pm (No. 6)
Unique sites:
Cd 0.000 0.000 0.000 (multiplicity 1)
Cd 0.478 0.500 0.980 (multiplicity 1)
Te 0.407 0.500 0.543 (multiplicity 1)
Te 0.583 0.000 0.224 (multiplicity 1)
Au 0.216 0.000 0.677 (multiplicity 1)
Au 0.917 0.500 0.776 (multiplicity 1)

## Properties
energy relative to the elements, uncorrected	-12.98	kJ per mole of atoms
DOS(E_F)	0.87	states/eV/f.u.

=====

> Which of these has the highest energy relative to the elements, uncorrected?

CdTeAu

=====

> Which of these has the lowest energy relative to the elements, uncorrected?

Ce3Si2SnRh9